(1)
First-principles (PBE) data for Ti4BeCo2Ni after structural relaxation, as listed in Alexandria.

The structure in POSCAR format:
```
Ti4BeCo2Ni
1.0
2.0838 1.2031 7.0534
-2.0838 1.2031 7.0534
0.0000 -2.4061 7.0534
Ti Be Co Ni
4 1 2 1
Direct
0.1235 0.1235 0.1235 Ti
0.3754 0.3754 0.3754 Ti
0.6246 0.6246 0.6246 Ti
0.8765 0.8765 0.8765 Ti
0.5000 0.5000 0.5000 Be
0.2397 0.2397 0.2397 Co
0.7603 0.7603 0.7603 Co
0.0000 0.0000 0.0000 Ni
```

Values from the calculation:
space group: No. 166
formation energy: -228 kJ/mol of formula units

---

(2)
First-principles (PBE) data for La2YCl after structural relaxation, as listed in Alexandria.

The structure in POSCAR format:
```
La2YCl
1.0
0.0000 4.0087 4.0087
4.0087 0.0000 4.0087
4.0087 4.0087 0.0000
La Y Cl
2 1 1
Direct
0.2500 0.2500 0.2500 La
0.7500 0.7500 0.7500 La
0.0000 0.0000 0.0000 Y
0.5000 0.5000 0.5000 Cl
```

Values from the calculation:
space group: No. 225
electronic total energy: -0.3366 Ry per atom